No. 1
## Pr6Te3P2Pb (PBE-GGA)

Data for crystalline Pr6Te3P2Pb at its relaxed geometry.

Lattice parameters (Å, degrees): 4.384 9.012 9.989 104.24 102.68 90.00
Sites, in units of the cell vectors:
1 Pr 0.325 0.435 0.649
2 Pr 0.331 0.888 0.662
3 Pr 0.669 0.112 0.338
4 Pr 0.988 0.745 0.977
5 Pb 0.500 0.000 0.000
6 P 0.169 0.337 0.339
7 Pr 0.012 0.255 0.023
8 Pr 0.675 0.565 0.351
9 Te 0.500 0.500 0.000
10 P 0.831 0.663 0.661
11 Te 0.837 0.168 0.674
12 Te 0.163 0.832 0.326

As for the symmetry: C2/m (12). Its raw formation energy is -1.37 eV/atom.

=====

No. 2
## Mn2V2Ir (PBE-GGA)

Data for crystalline Mn2V2Ir at its relaxed geometry.

Lattice parameters (Å, degrees): 6.662 6.662 2.871 90.00 90.00 90.00
Sites, in units of the cell vectors:
1 Mn 0.611 0.111 0.000
2 V 0.802 0.302 0.500
3 V 0.698 0.802 0.500
4 V 0.302 0.198 0.500
5 Ir 0.500 0.500 0.000
6 Mn 0.889 0.611 0.000
7 Mn 0.111 0.389 0.000
8 Ir 0.000 0.000 0.000
9 Mn 0.389 0.889 0.000
10 V 0.198 0.698 0.500

The value obtained for the formation energy from the elements is -0.3 eV per formula unit. As for the symmetry: P4/mbm (127).

=====

No. 3
## Ba2AgHg4 (PBE-GGA)

Data for crystalline Ba2AgHg4 at its relaxed geometry.

Lattice parameters (Å, degrees): 6.483 7.066 9.854 90.00 102.59 90.00
Sites, in units of the cell vectors:
1 Hg 0.396 0.032 0.701
2 Ba 0.716 0.750 0.964
3 Hg 0.249 0.750 0.080
4 Ag 0.880 0.250 0.219
5 Hg 0.751 0.250 0.920
6 Hg 0.396 0.468 0.701
7 Hg 0.294 0.250 0.405
8 Ag 0.120 0.750 0.781
9 Ba 0.858 0.250 0.591
10 Hg 0.604 0.532 0.299
11 Ba 0.284 0.250 0.036
12 Hg 0.706 0.750 0.595
13 Ba 0.142 0.750 0.409
14 Hg 0.604 0.968 0.299

The value obtained for the formation energy from the elements is -2.7 eV per formula unit. As for the symmetry: P2_1/m (11). For the energy relative to the lowest polymorph listed for this composition, the calculation gives 0 meV per atom.

=====

No. 4
## Ac3TcI2 (PBE-GGA)

Data for crystalline Ac3TcI2 at its relaxed geometry.

Lattice parameters (Å, degrees): 7.928 8.991 7.920 81.46 59.96 72.73
Sites, in units of the cell vectors:
1 Ac 0.555 0.195 0.382
2 Ac 0.445 0.805 0.618
3 Ac 0.063 0.805 0.382
4 Tc 0.332 0.000 0.335
5 Ac 0.937 0.195 0.618
6 I 0.842 0.500 0.316
7 I 0.158 0.500 0.684
8 Ac 0.316 0.193 0.000
9 Tc 0.668 0.000 0.665
10 Ac 0.684 0.807 0.000
11 I 0.000 0.000 0.000
12 I 0.500 0.500 0.000

As for the symmetry: C2/m (12). Its raw formation energy is -0.62 eV/atom.

=====

No. 5
## Li2CrRe (PBE-GGA)

Data for crystalline Li2CrRe at its relaxed geometry.

Lattice parameters (Å, degrees): 2.617 2.617 9.178 90.00 90.00 111.24
Sites, in units of the cell vectors:
1 Li 0.500 0.500 0.265
2 Li 0.000 0.000 0.982
3 Re 0.000 0.000 0.516
4 Cr 0.500 0.500 0.736

The value obtained for the formation energy from the elements is 1.0 eV per formula unit. As for the symmetry: Cmm2 (35). For the energy relative to the lowest polymorph listed for this composition, the calculation gives 0 meV per atom.

=====

No. 6
## LaMgB2Mo (PBE-GGA)

Data for crystalline LaMgB2Mo at its relaxed geometry.

Lattice parameters (Å, degrees): 4.418 5.186 4.418 90.00 90.00 90.00
Sites, in units of the cell vectors:
1 Mg 0.500 0.500 0.500
2 B 0.000 0.000 0.500
3 B 0.500 0.000 0.000
4 Mo 0.000 0.000 0.000
5 La 0.000 0.500 0.000

The value obtained for the formation energy from the elements is 4.8 eV per formula unit. As for the symmetry: P4/mmm (123).

=====

No. 7
## SiPt4Pb (PBE-GGA)

Data for crystalline SiPt4Pb at its relaxed geometry.

Lattice parameters (Å, degrees): 5.381 5.381 5.381 60.00 60.00 60.00
Sites, in units of the cell vectors:
1 Pt 0.874 0.375 0.375
2 Si 0.750 0.750 0.750
3 Pb 0.000 0.000 0.000
4 Pt 0.375 0.375 0.874
5 Pt 0.375 0.375 0.375
6 Pt 0.375 0.874 0.375

As for the symmetry: F-43m (216). For the energy relative to the lowest polymorph listed for this composition, the calculation gives 436 meV per atom. Its raw formation energy is 0.06 eV/atom.

=====

No. 8
## Li2MnSnAu4 (PBE-GGA)

Data for crystalline Li2MnSnAu4 at its relaxed geometry.

Lattice parameters (Å, degrees): 4.585 4.585 8.069 73.49 73.49 60.00
Sites, in units of the cell vectors:
1 Au 0.869 0.869 0.392
2 Li 0.250 0.250 0.251
3 Au 0.617 0.617 0.148
4 Au 0.131 0.131 0.608
5 Li 0.750 0.750 0.749
6 Mn 0.500 0.500 0.500
7 Au 0.383 0.383 0.852
8 Sn 0.000 0.000 0.000

The value obtained for the formation energy from the elements is -2.7 eV per formula unit. As for the symmetry: R-3m (166).

=====

No. 9
## CeBeAl (PBE-GGA)

Data for crystalline CeBeAl at its relaxed geometry.

Lattice parameters (Å, degrees): 2.998 2.998 6.202 103.99 103.99 90.00
Sites, in units of the cell vectors:
1 Ce 0.010 0.010 0.020
2 Al 0.301 0.301 0.602
3 Be 0.689 0.689 0.378

The value obtained for the formation energy from the elements is 0.0 eV per formula unit. As for the symmetry: I4mm (107). For the energy relative to the lowest polymorph listed for this composition, the calculation gives 110 meV per atom.

=====

No. 10
## ZrVIn (PBE-GGA)

Data for crystalline ZrVIn at its relaxed geometry.

Lattice parameters (Å, degrees): 3.423 3.423 5.654 107.62 107.62 90.00
Sites, in units of the cell vectors:
1 Zr 0.298 0.298 0.595
2 V 0.947 0.947 0.894
3 In 0.605 0.605 0.210

The value obtained for the formation energy from the elements is 0.1 eV per formula unit. As for the symmetry: I4mm (107). For the energy relative to the lowest polymorph listed for this composition, the calculation gives 0 meV per atom.

=====

No. 11
## CdAgAuF6 (PBE-GGA)

Data for crystalline CdAgAuF6 at its relaxed geometry.

Lattice parameters (Å, degrees): 5.922 5.922 9.533 90.00 90.00 120.00
Sites, in units of the cell vectors:
1 Au 0.667 0.333 0.250
2 F 0.648 0.660 0.633
3 F 0.340 0.352 0.867
4 F 0.352 0.340 0.367
5 F 0.352 0.012 0.133
6 F 0.012 0.352 0.633
7 Cd 0.333 0.667 0.250
8 Ag 0.000 0.000 0.000
9 Au 0.333 0.667 0.750
10 F 0.340 0.988 0.633
11 F 0.988 0.648 0.367
12 F 0.648 0.988 0.867
13 F 0.012 0.660 0.867
14 F 0.660 0.648 0.133
15 Ag 0.000 0.000 0.500
16 F 0.988 0.340 0.133
17 Cd 0.667 0.333 0.750
18 F 0.660 0.012 0.367

As for the symmetry: P-31c (163). Its raw formation energy is -1.34 eV/atom.

=====

No. 12
## Tb3TlAu (PBE-GGA)

Data for crystalline Tb3TlAu at its relaxed geometry.

Lattice parameters (Å, degrees): 8.153 8.153 11.148 87.22 87.22 49.79
Sites, in units of the cell vectors:
1 Au 0.896 0.104 0.750
2 Au 0.500 0.000 0.000
3 Tl 0.864 0.398 0.925
4 Tb 0.847 0.782 0.830
5 Tl 0.136 0.602 0.075
6 Tb 0.153 0.218 0.170
7 Tb 0.347 0.420 0.333
8 Tl 0.398 0.864 0.425
9 Tb 0.580 0.653 0.167
10 Tb 0.258 0.850 0.920
11 Tl 0.602 0.136 0.575
12 Tb 0.653 0.580 0.667
13 Au 0.000 0.500 0.500
14 Tb 0.218 0.153 0.670
15 Tb 0.420 0.347 0.833
16 Tb 0.782 0.847 0.330
17 Au 0.104 0.896 0.250
18 Tb 0.150 0.742 0.580
19 Tb 0.742 0.150 0.080
20 Tb 0.850 0.258 0.420

The value obtained for the formation energy from the elements is -1.9 eV per formula unit. As for the symmetry: C2/c (15).

=====

| no. | total magnetic moment (μB per cell) |
| --- | --- |
| 1 | 0.00 |
| 2 | 0.00 |
| 3 | 0.00 |
| 4 | 0.00 |
| 5 | 0.00 |
| 6 | 0.00 |
| 7 | 0.00 |
| 8 | 4.25 |
| 9 | 0.00 |
| 10 | 1.66 |
| 11 | 3.98 |
| 12 | 0.00 |